Here is a geometry-optimized MgMo2Pb structure from Alexandria. Energies are from PBE-GGA.

Cell: 3.2921 3.2921 7.2535 Å, 90.00 90.00 90.00°
Last column: nearest neighbours and their distance in Å.
Fractional positions:
1 Mg 0.5000 0.5000 0.7901  5 Mo 2.89-3.01
2 Mo 0.0000 0.0000 0.0262  4 Mo 2.66, 4 Mg 2.89
3 Mo 0.5000 0.5000 0.2044  4 Mo 2.66
4 Pb 0.0000 0.0000 0.4793  5 Mo 3.07-3.29, 4 Mg 3.24, 4 Pb 3.29

Properties
As for the crystal system: tetragonal. Its symmetry is P4mm, No. 99. Its energy of formation is 0.285 eV per atom. For the total energy, the calculation gives -25.8 eV/f.u.

Here is a geometry-optimized LiYSe3 structure from Alexandria. Energies are from PBE-GGA.

Cell: 4.7454 4.7454 4.7454 Å, 90.00 90.00 90.00°
Last column: nearest neighbours and their distance in Å.
Fractional positions:
1 Y 0.5000 0.5000 0.5000  12 Se 3.36
2 Se 0.0000 0.5000 0.0000  2 Li 2.37
3 Se 0.0000 0.0000 0.5000  2 Li 2.37
4 Se 0.5000 0.0000 0.0000  2 Li 2.37
5 Li 0.0000 0.0000 0.0000  6 Se 2.37

Properties
As for the crystal system: cubic. Its symmetry is Pm-3m, No. 221. The formation energy from raw total energies comes out at -323 kJ/mol of formula units. For the total energy, the calculation gives -22.2 eV/f.u.

Here is a geometry-optimized SrNdBiAu structure from Alexandria. Energies are from PBE-GGA.

Cell: 5.5501 5.5501 5.5501 Å, 60.00 60.00 60.00°
Last column: nearest neighbours and their distance in Å.
Fractional positions:
1 Nd 0.7500 0.7500 0.7500  4 Bi 3.40, 4 Au 3.40
2 Au 0.0000 0.0000 0.0000  4 Sr 3.40, 4 Nd 3.40
3 Bi 0.5000 0.5000 0.5000  4 Nd 3.40, 4 Sr 3.40
4 Sr 0.2500 0.2500 0.2500  4 Bi 3.40, 4 Au 3.40

Properties
As for the crystal system: cubic. Its symmetry is F-43m, No. 216. Its energy of formation is -0.699 eV per atom. For the total energy, the calculation gives -16.4 eV/f.u.

Here is a geometry-optimized Te3C structure from Alexandria. Energies are from PBE-GGA.

Cell: 4.9959 4.9959 3.7207 Å, 90.00 90.00 90.00°
Last column: nearest neighbours and their distance in Å.
Fractional positions:
1 C 0.0000 0.0000 0.0000  8 Te 3.11
2 Te 0.0000 0.5000 0.5000  4 Te 3.11, 4 C 3.11
3 Te 0.5000 0.0000 0.5000  4 Te 3.11, 4 C 3.11
4 Te 0.5000 0.5000 0.0000  8 Te 3.11

Properties
As for the crystal system: tetragonal. Its symmetry is P4/mmm, No. 123. The formation energy from raw total energies comes out at 651 kJ/mol of formula units. For the total energy, the calculation gives -11.9 eV/f.u.

Here is a geometry-optimized TaTl2Cr structure from Alexandria. Energies are from PBE-GGA.

Cell: 3.1224 5.3524 4.9841 Å, 90.00 90.00 90.00°
Last column: nearest neighbours and their distance in Å.
Fractional positions:
1 Cr 0.5000 0.0000 0.5000  4 Tl 2.94, 4 Ta 3.10, 2 Cr 3.12
2 Ta 0.0000 0.5000 0.5000  4 Tl 2.94, 4 Cr 3.10, 2 Ta 3.12
3 Tl 0.0000 0.0000 0.0000  4 Cr 2.94, 6 Tl 3.10-3.12
4 Tl 0.5000 0.5000 0.0000  4 Ta 2.94, 6 Tl 3.10-3.12

Properties
As for the crystal system: orthorhombic. Its symmetry is Pmmm, No. 47. Its energy of formation is 0.756 eV per atom. For the total energy, the calculation gives -23.2 eV/f.u.

Here is a geometry-optimized Ce4PmAs5 structure from Alexandria. Energies are from PBE-GGA.

Cell: 4.2221 5.9714 11.1722 Å, 105.50 100.89 90.00°
Last column: nearest neighbours and their distance in Å.
Fractional positions:
1 Ce 0.4004 0.4004 0.8007  6 As 2.98-2.99
2 Ce 0.8001 0.8001 0.6003  6 As 2.97-2.99
3 Ce 0.1999 0.1999 0.3997  6 As 2.97-2.99
4 Ce 0.5996 0.5996 0.1993  6 As 2.98-2.99
5 Pm 0.0000 0.0000 0.0000  6 As 2.99-3.00
6 As 0.6012 0.1012 0.2024  4 Ce 2.97-2.99, 2 Pm 3.00
7 As 0.8003 0.3003 0.6006  6 Ce 2.99
8 As 0.1997 0.6997 0.3994  6 Ce 2.99
9 As 0.0000 0.5000 0.0000  4 Ce 2.98, 2 Pm 2.99
10 As 0.3988 0.8988 0.7976  4 Ce 2.97-2.99, 2 Pm 3.00

Properties
As for the crystal system: orthorhombic. Its symmetry is Immm, No. 71. Its energy of formation is -1.446 eV per atom. For the total energy, the calculation gives -66.2 eV/f.u.

- Which value of total energy does entry 2 give?
  -22.2 eV/f.u.